Computed, not measured: Nd2InCo after structural relaxation at the PBE level of DFT.

The structure in CIF format:
```
data_Nd2InCo
_chemical_formula_sum 'Nd6 In3 Co3'
_cell_length_a 3.8656
_cell_length_b 3.8656
_cell_length_c 29.5371
_cell_angle_alpha 90.00
_cell_angle_beta 90.00
_cell_angle_gamma 120.00
_space_group_name_H-M_alt 'R -3 m'
_space_group_IT_number 166
_space_group_name_Hall '-R 3 2"'
loop_
_atom_site_label
_atom_site_type_symbol
_atom_site_fract_x
_atom_site_fract_y
_atom_site_fract_z
_atom_site_occupancy
Nd1 Nd 0.0000 0.0000 0.1143 1
In1 In 0.0000 0.0000 0.0000 1
Co1 Co 0.0000 0.0000 0.5000 1
```

Calculated values
calculated volume = 382.2 Å³/cell
D(E_F) = 1.42 states/eV/f.u.
ΔE to the lowest computed polymorph = 0.279 eV per atom
formation enthalpy at 0 K = 0.08 eV/atom